Ce2Ga3PdPt12: relaxed, PBE.

volume: 19.99 Å³/atom
density of states at the Fermi level: 32.877 states/eV/cell
raw total energy: -5.853 eV per atom

Lattice parameters (Å, degrees): 8.2156 8.2156 18.4640 90.00 90.00 120.00
Space group R-3m (No. 166, hexagonal axes)
Unique sites:
1 Ce 0.0000 0.0000 0.1162 (multiplicity 6)
2 Ga 0.0000 0.5000 0.0000 (multiplicity 9)
3 Pd 0.0000 0.0000 0.5000 (multiplicity 3)
4 Pt 0.0068 0.5034 0.3783 (multiplicity 18)
5 Pt 0.0225 0.5113 0.8661 (multiplicity 18)